[1]
A geometry-optimized KNaIn2F4 structure, computed with PBE-GGA.

Its calculated volume is 149.1 Å³/cell. The value obtained for the calculated density is 4.1 g/cm3. The value obtained for the raw total energy is -4.03 eV/atom.

The space group is P2/m (No. 10) and the conventional cell measures 6.323, 3.643 and 6.836 Å, with angles of 90.00, 108.77 and 90.00 degrees. The asymmetric unit holds K at (0.000, 0.000, 0.000), Na at (0.500, 0.500, 0.000), In at (0.000, 0.500, 0.500), In at (0.500, 0.000, 0.500), F at (0.270, 0.500, 0.221) and F at (0.274, 0.000, 0.783).

[2]
A geometry-optimized Li3In2Pd4 structure, computed with PBE-GGA.

For the formation energy, the calculation gives -53 kJ per mole of atoms. Its calculated volume is 287.2 Å³/cell. The value obtained for the calculated density is 7.8 g/cm3. The value obtained for the raw total energy is -4.10 eV/atom.

The space group is C2/m (No. 12) and the conventional cell measures 7.738, 4.466 and 8.312 Å, with angles of 90.00, 90.07 and 90.00 degrees. The asymmetric unit holds Li at (0.000, 0.000, 0.000), Li at (0.166, 0.500, 0.563), In at (0.167, 0.500, 0.223), Pd at (0.000, 0.000, 0.329) and Pd at (0.166, 0.500, 0.891).

[3]
A geometry-optimized DyErAu3 structure, computed with PBE-GGA.

For the formation energy, the calculation gives -83 kJ per mole of atoms. Its calculated volume is 219.3 Å³/cell. The value obtained for the calculated density is 13.9 g/cm3. The value obtained for the raw total energy is -4.66 eV/atom.

The space group is P2_1/m (No. 11) and the conventional cell measures 5.228, 5.227 and 8.427 Å, with angles of 90.00, 107.79 and 90.00 degrees. The asymmetric unit holds Dy at (0.140, 0.250, 0.281), Er at (0.361, 0.250, 0.721), Au at (0.050, 0.750, 0.101), Au at (0.250, 0.750, 0.500) and Au at (0.450, 0.750, 0.900).

[4]
A geometry-optimized Na2SrZn structure, computed with PBE-GGA.

For the formation energy, the calculation gives 22 kJ per mole of atoms. Its calculated volume is 461.5 Å³/cell. The value obtained for the calculated density is 2.1 g/cm3. The value obtained for the raw total energy is -1.17 eV/atom.

The space group is R-3m (No. 166, hexagonal axes) and the conventional cell measures 3.8525, 3.8525 and 35.9076 Å, with angles of 90.00, 90.00 and 120.00 degrees. The asymmetric unit holds Na at (0.0000, 0.0000, 0.1037), Sr at (0.0000, 0.0000, 0.0000) and Zn at (0.0000, 0.0000, 0.5000).

[5]
A geometry-optimized Na2TeBr5 structure, computed with PBE-GGA.

Its calculated volume is 776.5 Å³/cell. The value obtained for the calculated density is 2.5 g/cm3. The value obtained for the raw total energy is -2.62 eV/atom.

The space group is Cm (No. 8) and the conventional cell measures 13.466, 8.116 and 7.745 Å, with angles of 90.00, 113.44 and 90.00 degrees. The asymmetric unit holds Na at (0.000, 0.000, 0.000), Na at (0.116, 0.500, 0.561), Te at (0.060, 0.500, 0.997), Br at (0.119, 0.261, 0.273), Br at (0.276, 0.500, 0.932) and Br at (0.492, 0.234, 0.723).

[6]
A geometry-optimized LaDy3Sn3 structure, computed with PBE-GGA.

For the formation energy, the calculation gives -55 kJ per mole of atoms. Its calculated volume is 405.6 Å³/cell. The value obtained for the calculated density is 8.0 g/cm3. The value obtained for the raw total energy is -4.96 eV/atom.

The space group is P6_3/m (No. 176) and the conventional cell measures 9.3197, 9.3197 and 5.3921 Å, with angles of 90.00, 90.00 and 120.00 degrees. The asymmetric unit holds La at (0.3333, 0.6667, 0.2500), Dy at (0.0016, 0.7629, 0.2500) and Sn at (0.0728, 0.6263, 0.7500).

[7]
A geometry-optimized Hg7P structure, computed with PBE-GGA.

For the formation energy, the calculation gives 29 kJ per mole of atoms. Its calculated volume is 773.3 Å³/cell. The value obtained for the calculated density is 12.3 g/cm3. The value obtained for the raw total energy is -0.64 eV/atom.

The space group is Fm-3m (No. 225) and the conventional cell measures 9.179, 9.179 and 9.179 Å, with angles of 90.00, 90.00 and 90.00 degrees. The asymmetric unit holds Hg at (0.000, 0.000, 0.000), Hg at (0.000, 0.250, 0.250) and P at (0.000, 0.000, 0.500).

[8]
A geometry-optimized BaPu2PaO8 structure, computed with PBE-GGA.

Its calculated volume is 337.1 Å³/cell. The value obtained for the calculated density is 9.7 g/cm3. The value obtained for the raw total energy is -9.67 eV/atom.

The space group is I-4m2 (No. 119) and the conventional cell measures 5.532, 5.532 and 11.015 Å, with angles of 90.00, 90.00 and 90.00 degrees. The asymmetric unit holds Ba at (0.000, 0.000, 0.000), Pu at (0.000, 0.000, 0.500), Pu at (0.000, 0.500, 0.250), Pa at (0.000, 0.500, 0.750) and O at (0.229, 0.232, 0.635).

[9]
A geometry-optimized MoP2Os structure, computed with PBE-GGA.

For the formation energy, the calculation gives -18 kJ per mole of atoms. Its calculated volume is 210.5 Å³/cell. The value obtained for the calculated density is 11.0 g/cm3. The value obtained for the raw total energy is -8.40 eV/atom.

The space group is Fm-3m (No. 225) and the conventional cell measures 5.948, 5.948 and 5.948 Å, with angles of 90.00, 90.00 and 90.00 degrees. The asymmetric unit holds Mo at (0.000, 0.000, 0.000), P at (0.250, 0.250, 0.250) and Os at (0.000, 0.000, 0.500).

[10]
A geometry-optimized V5ReGe5 structure, computed with PBE-GGA.

For the formation energy, the calculation gives 21 kJ per mole of atoms. Its calculated volume is 344.9 Å³/cell. The value obtained for the calculated density is 7.7 g/cm3. The value obtained for the raw total energy is -7.16 eV/atom.

The space group is C2/m (No. 12) and the conventional cell measures 11.622, 4.765 and 6.517 Å, with angles of 90.00, 107.09 and 90.00 degrees. The asymmetric unit holds V at (0.000, 0.000, 0.000), V at (0.098, 0.500, 0.211), V at (0.137, 0.500, 0.871), Re at (0.000, 0.000, 0.500), Ge at (0.000, 0.500, 0.500), Ge at (0.184, 0.000, 0.811) and Ge at (0.197, 0.000, 0.384).

[11]
A geometry-optimized Cs2ZnSCl6 structure, computed with PBE-GGA.

Its calculated volume is 614.1 Å³/cell. The value obtained for the calculated density is 3.1 g/cm3. The value obtained for the raw total energy is -2.94 eV/atom.

The space group is I4/mmm (No. 139) and the conventional cell measures 7.370, 7.370 and 11.307 Å, with angles of 90.00, 90.00 and 90.00 degrees. The asymmetric unit holds Cs at (0.000, 0.500, 0.250), Zn at (0.000, 0.000, 0.000), S at (0.000, 0.000, 0.500), Cl at (0.000, 0.000, 0.192) and Cl at (0.227, 0.227, 0.500).

[12]
A geometry-optimized Be2HSe structure, computed with PBE-GGA.

Its calculated volume is 100.7 Å³/cell. The value obtained for the calculated density is 3.2 g/cm3. The value obtained for the raw total energy is -3.75 eV/atom.

The space group is P1 (No. 1) and the conventional cell measures 3.590, 5.599 and 5.668 Å, with angles of 67.42, 73.58 and 80.80 degrees. The asymmetric unit holds Be at (0.000, 0.000, 0.000), Be at (0.134, 0.399, 0.989), Be at (0.426, 0.797, 0.243), Be at (0.826, 0.956, 0.425), H at (0.131, 0.253, 0.829), H at (0.609, 0.978, 0.988), Se at (0.245, 0.801, 0.681) and Se at (0.543, 0.390, 0.241).

The lowest raw total energy belongs to which entry? BaPu2PaO8

What is the calculated volume in the seventh record? 773.3 Å³/cell